[1]
The following is a GGA-PBE calculation of a geometry-optimized Rb3CeU2O9 structure, from the Alexandria database.

Cell lengths 6.1977, 6.1977, 7.5920 Å; angles 90.00, 90.00, 120.00 degrees
Last column: nearest neighbours and their distance in Å.
Space group P-3m1 (No. 164)
One atom of each set of equivalent atoms:
Rb (0.0000, 0.0000, 0.0000) x1  12 O 3.08-3.10
Rb (0.3333, 0.6667, 0.6639) x2  12 O 3.10-3.12
Ce (0.0000, 0.0000, 0.5000) x1  6 O 2.30
U (0.3333, 0.6667, 0.1648) x2  6 O 2.09-2.18
O (0.0000, 0.5000, 0.0000) x3  2 U 2.18
O (0.1743, 0.3487, 0.3229) x6  1 U 2.09, 1 Ce 2.30

Output
Uncorrected energy   -7.94 eV per atom


[2]
The following is a GGA-PBE calculation of a geometry-optimized LaY2Ga2 structure, from the Alexandria database.

Cell lengths 4.9865, 4.9865, 11.9362 Å; angles 90.00, 90.00, 90.00 degrees
Last column: nearest neighbours and their distance in Å.
Space group I4/mmm (No. 139)
One atom of each set of equivalent atoms:
La (0.0000, 0.0000, 0.0000) x2  8 Ga 3.89, 10 Y 3.91-4.29
Y (0.0000, 0.0000, 0.3594) x4  4 Ga 2.81
Ga (0.0000, 0.5000, 0.2500) x4  4 Y 2.81

Output
Polymorph energy (0 for the lowest one)   0.203 eV per atom


[3]
The following is a GGA-PBE calculation of a geometry-optimized SbTeClO3 structure, from the Alexandria database.

Cell lengths 11.7726, 5.5184, 7.2055 Å; angles 90.00, 90.00, 90.00 degrees
Last column: nearest neighbours and their distance in Å.
Space group Pnma (No. 62)
One atom of each set of equivalent atoms:
Sb (0.2399, 0.2500, 0.0817) x4  3 O 2.03-2.07
Te (0.0762, 0.7500, 0.1780) x4  3 O 1.92-1.94
Cl (0.0771, 0.2500, 0.3928) x4  1 Sb 2.95, 2 Te 3.16, 4 O 3.19-3.30
O (0.1251, 0.5051, 0.0032) x8  1 Te 1.94, 1 Sb 2.03
O (0.2206, 0.7500, 0.3012) x4  1 Te 1.92, 1 Sb 2.07

Output
Uncorrected energy   -5.10 eV per atom


Number 1: theoretical density 6.684 Mg/m³. Number 2: theoretical density 5.104 Mg/m³. Number 3: theoretical density 4.722 Mg/m³.